1.
# InSe2Cl, optimized geometry, DFT PBE
data_InSe2Cl
_cell_length_a 14.6388
_cell_length_b 4.0934
_cell_length_c 4.4413
_cell_angle_alpha 90.00
_cell_angle_beta 96.97
_cell_angle_gamma 90.00
_symmetry_space_group_name_H-M 'C 1 2/m 1'
_symmetry_Int_Tables_number 12
loop_
_symmetry_equiv_pos_as_xyz
'x,y,z'
'-x,-y,-z'
'-x,y,-z'
'x,-y,z'
'x+1/2,y+1/2,z'
'-x+1/2,-y+1/2,-z'
'-x+1/2,y+1/2,-z'
'x+1/2,-y+1/2,z'
loop_
_atom_site_label
_atom_site_fract_x
_atom_site_fract_y
_atom_site_fract_z
In1 0.0000 0.0000 0.0000
Se1 0.2277 0.5000 0.1130
Cl1 0.0000 0.5000 0.5000
# * polymorph energy (0 for the lowest one): 25.8 kJ per mole of atoms
# * final energy: -3.138 eV per atom
# * formation energy without anion corrections: -249 meV per atom
# * DOS at the Fermi energy: 1.17 states/eV/f.u.
# * total magnetic moment: 0.000 μB/f.u.

2.
# InSeCl2, optimized geometry, DFT PBE
data_InSeCl2
_cell_length_a 3.3134
_cell_length_b 3.3134
_cell_length_c 29.2976
_cell_angle_alpha 90.00
_cell_angle_beta 90.00
_cell_angle_gamma 120.00
_symmetry_space_group_name_H-M 'R -3 m'
_symmetry_Int_Tables_number 166
_symmetry_space_group_name_Hall '-R 3 2"'
loop_
_atom_site_label
_atom_site_fract_x
_atom_site_fract_y
_atom_site_fract_z
In1 0.0000 0.0000 0.0000
Se1 0.0000 0.0000 0.5000
Cl1 0.0000 0.0000 0.0885
# * polymorph energy (0 for the lowest one): 76.7 kJ per mole of atoms
# * final energy: -2.343 eV per atom
# * formation energy without anion corrections: 136 meV per atom
# * DOS at the Fermi energy: 2.45 states/eV/f.u.
# * total magnetic moment: 0.000 μB/f.u.

3.
# InSe2Cl, optimized geometry, DFT PBE
data_InSe2Cl
_cell_length_a 5.7092
_cell_length_b 3.7441
_cell_length_c 6.1251
_cell_angle_alpha 90.00
_cell_angle_beta 97.08
_cell_angle_gamma 90.00
_symmetry_space_group_name_H-M 'P 1 m 1'
_symmetry_Int_Tables_number 6
loop_
_symmetry_equiv_pos_as_xyz
'x,y,z'
'x,-y,z'
loop_
_atom_site_label
_atom_site_fract_x
_atom_site_fract_y
_atom_site_fract_z
In1 0.0000 0.0000 0.0000
Se1 0.3480 0.5000 0.8813
Se2 0.5817 0.0000 0.7192
Cl1 0.9031 0.5000 0.2735
# * polymorph energy (0 for the lowest one): 17.5 kJ per mole of atoms
# * final energy: -3.224 eV per atom
# * formation energy without anion corrections: -335 meV per atom
# * DOS at the Fermi energy: 0.49 states/eV/f.u.
# * total magnetic moment: 0.000 μB/f.u.

4.
# InSeCl, optimized geometry, DFT PBE
data_InSeCl
_cell_length_a 3.4701
_cell_length_b 3.4701
_cell_length_c 13.0077
_cell_angle_alpha 90.00
_cell_angle_beta 90.00
_cell_angle_gamma 90.00
_symmetry_space_group_name_H-M 'I 4 m m'
_symmetry_Int_Tables_number 107
_symmetry_space_group_name_Hall 'I 4 -2'
loop_
_atom_site_label
_atom_site_fract_x
_atom_site_fract_y
_atom_site_fract_z
In1 0.0000 0.0000 0.0000
Se1 0.0000 0.0000 0.6145
Cl1 0.0000 0.0000 0.3623
# * final energy: -2.968 eV per atom
# * formation energy without anion corrections: -279 meV per atom
# * DOS at the Fermi energy: 1.22 states/eV/f.u.
# * total magnetic moment: 0.000 μB/f.u.

5.
# InSeCl2, optimized geometry, DFT PBE
data_InSeCl2
_cell_length_a 5.6758
_cell_length_b 3.8400
_cell_length_c 5.8255
_cell_angle_alpha 90.00
_cell_angle_beta 107.59
_cell_angle_gamma 90.00
_symmetry_space_group_name_H-M 'P 1 m 1'
_symmetry_Int_Tables_number 6
loop_
_symmetry_equiv_pos_as_xyz
'x,y,z'
'x,-y,z'
loop_
_atom_site_label
_atom_site_fract_x
_atom_site_fract_y
_atom_site_fract_z
In1 0.0000 0.0000 0.0000
Se1 0.2425 0.5000 0.2961
Cl1 0.5671 0.0000 0.9815
Cl2 0.9501 0.5000 0.6670
# * polymorph energy (0 for the lowest one): 12.8 kJ per mole of atoms
# * final energy: -3.005 eV per atom
# * formation energy without anion corrections: -526 meV per atom
# * DOS at the Fermi energy: 0.39 states/eV/f.u.
# * total magnetic moment: 1.006 μB/f.u.

6.
# In2Se2Cl, optimized geometry, DFT PBE
data_In2Se2Cl
_cell_length_a 8.4075
_cell_length_b 8.4075
_cell_length_c 11.6358
_cell_angle_alpha 90.00
_cell_angle_beta 90.00
_cell_angle_gamma 90.00
_symmetry_space_group_name_H-M 'I 41 m d'
_symmetry_Int_Tables_number 109
_symmetry_space_group_name_Hall 'I 4bw -2'
loop_
_atom_site_label
_atom_site_fract_x
_atom_site_fract_y
_atom_site_fract_z
In1 0.0000 0.2905 0.0000
Se1 0.0000 0.2435 0.7712
Cl1 0.0000 0.0000 0.0798
# * polymorph energy (0 for the lowest one): 6.4 kJ per mole of atoms
# * final energy: -3.358 eV per atom
# * formation energy without anion corrections: -499 meV per atom
# * DOS at the Fermi energy: 4.11 states/eV/f.u.
# * total magnetic moment: 0.000 μB/f.u.

7.
# In12Se5Cl3, optimized geometry, DFT PBE
data_In12Se5Cl3
_cell_length_a 17.9324
_cell_length_b 17.9324
_cell_length_c 17.9324
_cell_angle_alpha 90.00
_cell_angle_beta 90.00
_cell_angle_gamma 90.00
_symmetry_space_group_name_H-M 'I a -3 d'
_symmetry_Int_Tables_number 230
_symmetry_space_group_name_Hall '-I 4bd 2c 3'
loop_
_atom_site_label
_atom_site_fract_x
_atom_site_fract_y
_atom_site_fract_z
In1 0.0119 0.0690 0.6576
Se1 0.0000 0.0000 0.0000
Se2 0.0000 0.2500 0.3750
Cl1 0.0000 0.2500 0.1250
# * final energy: -3.079 eV per atom
# * formation energy without anion corrections: -288 meV per atom
# * DOS at the Fermi energy: 6.34 states/eV/f.u.
# * total magnetic moment: 0.000 μB/f.u.

8.
# InSeCl4, optimized geometry, DFT PBE
data_InSeCl4
_cell_length_a 8.6813
_cell_length_b 8.6813
_cell_length_c 8.6813
_cell_angle_alpha 90.00
_cell_angle_beta 90.00
_cell_angle_gamma 90.00
_symmetry_space_group_name_H-M 'F -4 3 m'
_symmetry_Int_Tables_number 216
_symmetry_space_group_name_Hall 'F -4 2 3'
loop_
_atom_site_label
_atom_site_fract_x
_atom_site_fract_y
_atom_site_fract_z
In1 0.0000 0.0000 0.0000
Se1 0.2500 0.2500 0.7500
Cl1 0.1255 0.1255 0.3745
# * final energy: -1.811 eV per atom
# * formation energy without anion corrections: 457 meV per atom
# * DOS at the Fermi energy: 4.86 states/eV/f.u.
# * total magnetic moment: 5.071 μB/f.u.

9.
# InSe2Cl, optimized geometry, DFT PBE
data_InSe2Cl
_cell_length_a 7.0258
_cell_length_b 7.0258
_cell_length_c 7.0258
_cell_angle_alpha 90.00
_cell_angle_beta 90.00
_cell_angle_gamma 90.00
_symmetry_space_group_name_H-M 'F m -3 m'
_symmetry_Int_Tables_number 225
_symmetry_space_group_name_Hall '-F 4 2 3'
loop_
_atom_site_label
_atom_site_fract_x
_atom_site_fract_y
_atom_site_fract_z
In1 0.0000 0.0000 0.0000
Se1 0.2500 0.2500 0.2500
Cl1 0.0000 0.0000 0.5000
# * polymorph energy (0 for the lowest one): 66.8 kJ per mole of atoms
# * final energy: -2.713 eV per atom
# * formation energy without anion corrections: 176 meV per atom
# * DOS at the Fermi energy: 3.08 states/eV/f.u.
# * total magnetic moment: 0.000 μB/f.u.

10.
# In2SeCl2, optimized geometry, DFT PBE
data_In2SeCl2
_cell_length_a 5.3215
_cell_length_b 5.3215
_cell_length_c 9.8876
_cell_angle_alpha 90.00
_cell_angle_beta 90.00
_cell_angle_gamma 90.00
_symmetry_space_group_name_H-M 'I 4/m m m'
_symmetry_Int_Tables_number 139
_symmetry_space_group_name_Hall '-I 4 2'
loop_
_atom_site_label
_atom_site_fract_x
_atom_site_fract_y
_atom_site_fract_z
In1 0.0000 0.5000 0.2500
Se1 0.0000 0.0000 0.0000
Cl1 0.0000 0.0000 0.3455
# * polymorph energy (0 for the lowest one): 54.4 kJ per mole of atoms
# * final energy: -2.755 eV per atom
# * formation energy without anion corrections: -224 meV per atom
# * DOS at the Fermi energy: 2.37 states/eV/f.u.
# * total magnetic moment: 0.000 μB/f.u.